A plane-wave DFT calculation with PBE-GGA was carried out for crystalline NaCd2O2 at its relaxed geometry.

a = 4.3120 Å, b = 4.3120 Å, c = 9.0866 Å
α = 90.00°, β = 90.00°, γ = 90.00°
With the nearest neighbours (Å) after each atom.
Space group I4/mmm (No. 139)
Asymmetric unit:
Na: 0.0000 0.0000 0.0000 (multiplicity 2)  10 Cd 3.10-3.37, 8 O 3.13
Cd: 0.0000 0.0000 0.3410 (multiplicity 4)  4 O 2.31
O: 0.0000 0.5000 0.2500 (multiplicity 4)  4 Cd 2.31

## Properties
distance to the lowest polymorph of the same formula = 0.058 eV/atom
theoretical density = 5.50 g cm⁻³

---

A plane-wave DFT calculation with PBE-GGA was carried out for crystalline NaCdO at its relaxed geometry.

a = 3.9353 Å, b = 3.9353 Å, c = 7.2047 Å
α = 90.00°, β = 90.00°, γ = 90.00°
With the nearest neighbours (Å) after each atom.
Space group I4mm (No. 107)
Asymmetric unit:
Na: 0.0000 0.0000 0.0000 (multiplicity 2)  1 O 2.30
Cd: 0.0000 0.0000 0.6235 (multiplicity 2)  1 O 2.20
O: 0.0000 0.0000 0.3188 (multiplicity 2)  1 Cd 2.20, 1 Na 2.30

## Properties
distance to the lowest polymorph of the same formula = 0.599 eV/atom
theoretical density = 4.51 g cm⁻³

---

A plane-wave DFT calculation with PBE-GGA was carried out for crystalline Na2CdO3 at its relaxed geometry.

a = 5.8269 Å, b = 10.0631 Å, c = 5.8076 Å
α = 90.00°, β = 109.74°, γ = 90.00°
With the nearest neighbours (Å) after each atom.
Space group C2/m (No. 12)
Asymmetric unit:
Na: 0.0000 0.0000 0.0000 (multiplicity 2)  6 O 2.42-2.43
Na: 0.0000 0.1619 0.5000 (multiplicity 4)  6 O 2.37-2.52
Na: 0.0000 0.5000 0.5000 (multiplicity 2)  6 O 2.34-2.51
Cd: 0.0000 0.3340 0.0000 (multiplicity 4)  6 O 2.25
O: 0.2214 0.5000 0.2307 (multiplicity 4)  2 Cd 2.25, 4 Na 2.34-2.45
O: 0.2452 0.3211 0.7738 (multiplicity 8)  2 Cd 2.25, 3 Na 2.37-2.51

## Properties
theoretical density = 4.28 g cm⁻³

---

A plane-wave DFT calculation with PBE-GGA was carried out for crystalline NaCd2O2 at its relaxed geometry.

a = 8.2576 Å, b = 8.5124 Å, c = 6.4861 Å
α = 90.00°, β = 129.44°, γ = 90.00°
With the nearest neighbours (Å) after each atom.
Space group C2/c (No. 15)
Asymmetric unit:
Na: 0.0000 0.1250 0.2500 (multiplicity 4)  2 O 2.41
Cd: 0.1517 0.3751 0.0531 (multiplicity 8)  4 O 2.31-2.39
O: 0.0000 0.1585 0.7500 (multiplicity 4)  4 Cd 2.31-2.39, 1 Na 2.41
O: 0.0000 0.4086 0.2500 (multiplicity 4)  4 Cd 2.31-2.39, 1 Na 2.41

## Properties
distance to the lowest polymorph of the same formula = 0.000 eV/atom
theoretical density = 5.28 g cm⁻³

---

A plane-wave DFT calculation with PBE-GGA was carried out for crystalline Na12Cd3O5 at its relaxed geometry.

a = 15.5196 Å, b = 15.5196 Å, c = 15.5196 Å
α = 90.00°, β = 90.00°, γ = 90.00°
With the nearest neighbours (Å) after each atom.
Space group Ia-3d (No. 230)
Asymmetric unit:
Na: 0.0370 0.1393 0.9555 (multiplicity 96)  2 O 2.20-2.34
Cd: 0.0000 0.2500 0.1250 (multiplicity 24)  8 Na 3.19-3.38
O: 0.0000 0.0000 0.0000 (multiplicity 16)  6 Na 2.34
O: 0.0000 0.2500 0.3750 (multiplicity 24)  4 Na 2.20

## Properties
theoretical density = 2.46 g cm⁻³

---

A plane-wave DFT calculation with PBE-GGA was carried out for crystalline NaCdO at its relaxed geometry.

a = 3.3835 Å, b = 3.3835 Å, c = 5.6092 Å
α = 90.00°, β = 90.00°, γ = 120.00°
With the nearest neighbours (Å) after each atom.
Space group P3m1 (No. 156)
Asymmetric unit:
Na: 0.0000 0.0000 0.0000 (multiplicity 1)  3 O 2.33
Cd: 0.3333 0.6667 0.4467 (multiplicity 1)  3 O 2.31
O: 0.6667 0.3333 0.2266 (multiplicity 1)  3 Cd 2.31, 3 Na 2.33

## Properties
distance to the lowest polymorph of the same formula = 0.000 eV/atom
theoretical density = 4.52 g cm⁻³

---

A plane-wave DFT calculation with PBE-GGA was carried out for crystalline Na3CdO3 at its relaxed geometry.

a = 7.1193 Å, b = 7.1193 Å, c = 7.1193 Å
α = 90.00°, β = 90.00°, γ = 90.00°
With the nearest neighbours (Å) after each atom.
Space group P2_13 (No. 198)
Asymmetric unit:
Na: 0.0536 0.4464 0.5536 (multiplicity 4)  6 O 2.37-2.59
Na: 0.1781 0.1781 0.1781 (multiplicity 4)  3 O 2.32
Na: 0.1876 0.8124 0.3124 (multiplicity 4)  3 O 2.34
Cd: 0.0728 0.5728 0.9272 (multiplicity 4)  6 O 2.30-2.53
O: 0.0033 0.7647 0.6357 (multiplicity 12)  2 Cd 2.30-2.53, 3 Na 2.32-2.37

## Properties
theoretical density = 4.22 g cm⁻³

---

A plane-wave DFT calculation with PBE-GGA was carried out for crystalline Na2Cd2O3 at its relaxed geometry.

a = 11.2284 Å, b = 3.3633 Å, c = 6.0100 Å
α = 90.00°, β = 103.67°, γ = 90.00°
With the nearest neighbours (Å) after each atom.
Space group C2/m (No. 12)
Asymmetric unit:
Na: 0.1530 0.0000 0.3509 (multiplicity 4)  4 O 2.31-2.38
Cd: 0.1271 0.5000 0.8999 (multiplicity 4)  5 O 2.29-2.41
O: 0.0000 0.0000 0.0000 (multiplicity 2)  4 Cd 2.37, 2 Na 2.38
O: 0.2196 0.0000 0.7447 (multiplicity 4)  3 Cd 2.29-2.41, 3 Na 2.31-2.37

## Properties
distance to the lowest polymorph of the same formula = 0.015 eV/atom
theoretical density = 4.80 g cm⁻³

---

Which E_tot belongs to each record? In order, -33.89; -15.94; -95.67; -68.93; -460.42; -9.77; -107.73; -54.54 eV for the cell shown.